Entry 1:
# BaGaIr (PBE-GGA, optimized geometry)
# final energy: -3.773 eV/atom
# crystal system: cubic
# total moment: 0.0 μB/f.u.
data_BaGaIr
_chemical_formula_sum 'Ba4 Ga4 Ir4'
_cell_length_a 7.1405
_cell_length_b 7.1405
_cell_length_c 7.1405
_cell_angle_alpha 90.00
_cell_angle_beta 90.00
_cell_angle_gamma 90.00
_symmetry_space_group_name_H-M 'F -4 3 m'
_symmetry_Int_Tables_number 216
_symmetry_space_group_name_Hall 'F -4 2 3'
loop_
_atom_site_label
_atom_site_type_symbol
_atom_site_fract_x
_atom_site_fract_y
_atom_site_fract_z
Ba1 Ba 0.0000 0.0000 0.0000
Ga1 Ga 0.2500 0.2500 0.7500
Ir1 Ir 0.2500 0.2500 0.2500


Entry 2:
# Ba2GaIr (PBE-GGA, optimized geometry)
# final energy: -4.330 eV/atom
# crystal system: trigonal
# total moment: 0.0 μB/f.u.
data_Ba2GaIr
_chemical_formula_sum 'Ba6 Ga3 Ir3'
_cell_length_a 4.4580
_cell_length_b 4.4580
_cell_length_c 26.1417
_cell_angle_alpha 90.00
_cell_angle_beta 90.00
_cell_angle_gamma 120.00
_symmetry_space_group_name_H-M 'R 3 m'
_symmetry_Int_Tables_number 160
_symmetry_space_group_name_Hall 'R 3 -2"'
loop_
_atom_site_label
_atom_site_type_symbol
_atom_site_fract_x
_atom_site_fract_y
_atom_site_fract_z
Ba1 Ba 0.0000 0.0000 0.0000
Ba2 Ba 0.0000 0.0000 0.1651
Ga1 Ga 0.0000 0.0000 0.4158
Ir1 Ir 0.0000 0.0000 0.7495


Entry 3:
# BaGa3Ir (PBE-GGA, optimized geometry)
# final energy: -4.446 eV/atom
# crystal system: cubic
# total moment: 0.0 μB/f.u.
data_BaGa3Ir
_chemical_formula_sum 'Ba1 Ga3 Ir1'
_cell_length_a 4.8934
_cell_length_b 4.8934
_cell_length_c 4.8934
_cell_angle_alpha 90.00
_cell_angle_beta 90.00
_cell_angle_gamma 90.00
_symmetry_space_group_name_H-M 'P m -3 m'
_symmetry_Int_Tables_number 221
_symmetry_space_group_name_Hall '-P 4 2 3'
loop_
_atom_site_label
_atom_site_type_symbol
_atom_site_fract_x
_atom_site_fract_y
_atom_site_fract_z
Ba1 Ba 0.0000 0.0000 0.0000
Ga1 Ga 0.0000 0.5000 0.5000
Ir1 Ir 0.5000 0.5000 0.5000


Entry 4:
# BaGa2Ir (PBE-GGA, optimized geometry)
# final energy: -4.000 eV/atom
# crystal system: cubic
# total moment: 0.0 μB/f.u.
data_BaGa2Ir
_chemical_formula_sum 'Ba4 Ga8 Ir4'
_cell_length_a 7.1151
_cell_length_b 7.1151
_cell_length_c 7.1151
_cell_angle_alpha 90.00
_cell_angle_beta 90.00
_cell_angle_gamma 90.00
_symmetry_space_group_name_H-M 'F -4 3 m'
_symmetry_Int_Tables_number 216
_symmetry_space_group_name_Hall 'F -4 2 3'
loop_
_atom_site_label
_atom_site_type_symbol
_atom_site_fract_x
_atom_site_fract_y
_atom_site_fract_z
Ba1 Ba 0.0000 0.0000 0.0000
Ga1 Ga 0.0000 0.0000 0.5000
Ga2 Ga 0.2500 0.2500 0.7500
Ir1 Ir 0.2500 0.2500 0.2500